1.
Computed, not measured: crystalline LiZnCoAu at its relaxed geometry at the PBE level of DFT.

## Properties
Energy relative to the lowest polymorph listed for this composition = 0.00 eV/f.u.

```
4
Lattice="0.0000 3.0094 3.0094 3.0094 0.0000 3.0094 3.0094 3.0094 0.0000" Properties=species:S:1:pos:R:3 pbc="T T T"
Co 4.5141 4.5141 4.5141
Au 3.0094 3.0094 3.0094
Zn 0.0000 0.0000 0.0000
Li 1.5047 1.5047 1.5047
```



2.
Computed, not measured: crystalline Cd2F at its relaxed geometry at the PBE level of DFT.

## Properties
Energy relative to the lowest polymorph listed for this composition = 0.00 eV/f.u.

```
6
Lattice="6.2556 0.0000 0.0000 0.0000 6.2556 0.0000 0.0000 0.0000 3.0413" Properties=species:S:1:pos:R:3 pbc="T T T"
Cd 4.8580 1.3976 1.5207
Cd 4.5254 4.5254 0.0000
Cd 1.7302 1.7302 0.0000
Cd 1.3976 4.8580 1.5207
F 3.1278 3.1278 1.5207
F 0.0000 0.0000 0.0000
```



3.
Computed, not measured: crystalline Ba2TmH6 at its relaxed geometry at the PBE level of DFT.

## Properties
Energy = -3.5764 eV per atom

```
9
Lattice="6.0896 0.0000 0.0000 -3.0448 5.2737 0.0000 0.0000 0.0000 4.3264" Properties=species:S:1:pos:R:3 pbc="T T T"
H 0.0000 1.9085 0.9791
H -1.3920 4.3195 0.9791
H 4.4368 0.9542 3.3473
H 1.6528 0.9542 3.3473
H 1.3920 4.3195 0.9791
H 3.0448 3.3653 3.3473
Ba 0.0000 3.5158 3.1378
Ba 3.0448 1.7579 1.1886
Tm 0.0000 0.0000 0.0000
```



4.
Computed, not measured: crystalline PrZn2GaPt at its relaxed geometry at the PBE level of DFT.

## Properties
Energy = -3.8322 eV per atom

```
5
Lattice="-2.1218 2.1218 5.3572 2.1218 -2.1218 5.3572 2.1218 2.1218 -5.3572" Properties=species:S:1:pos:R:3 pbc="T T T"
Pt 0.0000 0.0000 5.3572
Zn 0.0000 2.1218 1.4537
Zn 0.0000 2.1218 3.9034
Ga 0.0000 0.0000 0.0000
Pr 2.1218 0.0000 2.6786
```



5.
Computed, not measured: crystalline Co at its relaxed geometry at the PBE level of DFT.

## Properties
Energy relative to the lowest polymorph listed for this composition = 0.19 eV/f.u.

```
16
Lattice="2.4582 0.0000 0.0000 0.0000 2.4582 0.0000 0.0000 0.0000 41.1623" Properties=species:S:1:pos:R:3 pbc="T T T"
Co 0.0000 0.0000 19.7075
Co 1.2291 1.2291 10.9914
Co 1.2291 1.2291 21.4549
Co 0.0000 0.0000 30.1714
Co 0.0000 0.0000 23.1977
Co 0.0000 0.0000 9.1810
Co 0.0000 0.0000 33.6676
Co 1.2291 1.2291 14.4741
Co 1.2291 1.2291 17.9646
Co 1.2291 1.2291 28.4494
Co 1.2291 1.2291 7.4937
Co 1.2291 1.2291 24.9490
Co 0.0000 0.0000 16.2129
Co 1.2291 1.2291 31.9815
Co 0.0000 0.0000 12.7132
Co 0.0000 0.0000 26.6881
```



6.
Computed, not measured: crystalline Y2CdAu2 at its relaxed geometry at the PBE level of DFT.

## Properties
Energy = -4.4346 eV per atom

```
5
Lattice="5.5127 4.8856 -2.9647 0.7062 7.8401 -1.0404 -1.8757 -6.1154 4.7044" Properties=species:S:1:pos:R:3 pbc="T T T"
Cd 0.0000 0.0000 0.0000
Y 3.8155 7.8076 -2.4573
Y 2.4034 4.9180 -1.5478
Au 3.3732 2.5665 -0.1314
Au 0.9700 4.0437 0.8307
```



7.
Computed, not measured: crystalline CsPm2F7 at its relaxed geometry at the PBE level of DFT.

## Properties
Energy = -6.1828 eV per atom

```
10
Lattice="3.5527 -5.7415 0.0000 3.5527 5.7415 0.0000 0.0000 0.0000 4.4641" Properties=species:S:1:pos:R:3 pbc="T T T"
F 5.7642 -1.6187 2.2320
F 3.5527 0.0000 2.2320
F 1.3411 -1.6187 2.2320
F 3.5527 -2.4058 0.0000
F 5.7642 1.6187 2.2320
F 1.3411 1.6187 2.2320
F 3.5527 2.4058 0.0000
Pm 3.5527 2.2283 2.2320
Pm 3.5527 -2.2283 2.2320
Cs 0.0000 0.0000 0.0000
```



8.
Computed, not measured: crystalline NdSmHo at its relaxed geometry at the PBE level of DFT.

## Properties
Energy relative to the lowest polymorph listed for this composition = 0.00 eV/f.u.

```
3
Lattice="0.0000 3.8764 3.8764 3.8764 0.0000 3.8764 3.8764 3.8764 0.0000" Properties=species:S:1:pos:R:3 pbc="T T T"
Nd 1.9382 1.9382 1.9382
Sm 5.8145 5.8145 5.8145
Ho 0.0000 0.0000 0.0000
```



9.
Computed, not measured: crystalline Y4ZnNiN2 at its relaxed geometry at the PBE level of DFT.

## Properties
Energy = -6.9965 eV per atom

```
8
Lattice="3.5311 0.0000 0.0000 -1.7655 3.0580 0.0000 0.0000 0.0000 14.0892" Properties=species:S:1:pos:R:3 pbc="T T T"
N 0.0000 2.0387 3.3736
N 0.0000 2.0387 10.7155
Y 0.0000 0.0000 12.1263
Y 1.7655 1.0193 4.7129
Y 0.0000 0.0000 1.9628
Y 1.7655 1.0193 9.3763
Zn 0.0000 0.0000 7.0446
Ni 1.7655 1.0193 0.0000
```



10.
Computed, not measured: crystalline Tb3YSn2C2 at its relaxed geometry at the PBE level of DFT.

## Properties
Energy = -6.3737 eV per atom

```
8
Lattice="3.6378 0.0000 0.0000 -1.8189 3.1504 0.0000 0.0000 0.0000 15.9678" Properties=species:S:1:pos:R:3 pbc="T T T"
Tb 0.0000 0.0000 9.3383
Tb 1.8189 1.0501 6.6296
Tb 1.8189 1.0501 1.3442
Sn 0.0000 0.0000 3.9910
Sn 1.8189 1.0501 11.9854
Y 0.0000 0.0000 14.6114
C 0.0000 2.1003 7.9871
C 0.0000 2.1003 0.0000
```



11.
Computed, not measured: crystalline Ho2Ga2IrPd3 at its relaxed geometry at the PBE level of DFT.

## Properties
Energy = -5.8013 eV per atom

```
8
Lattice="-4.1901 -0.5105 1.1357 3.1178 -2.2498 2.0796 0.8165 6.6991 6.0234" Properties=species:S:1:pos:R:3 pbc="T T T"
Pd -1.0107 5.0091 6.9345
Pd 0.3414 2.8013 2.5187
Pd -1.2806 2.7945 4.9433
Ir 0.0632 0.5185 0.4662
Ga 1.0912 1.6885 4.7848
Ga 0.6966 -1.5488 1.8740
Ho 0.6139 5.0367 4.5287
Ho -1.5559 0.5359 2.9125
```



12.
Computed, not measured: crystalline MgGaAg at its relaxed geometry at the PBE level of DFT.

## Properties
Energy = -2.6503 eV per atom

```
9
Lattice="-6.6887 -0.8723 -3.5820 2.3135 -5.2036 5.0893 -1.4778 1.6491 2.3579" Properties=species:S:1:pos:R:3 pbc="T T T"
Ag -0.7389 0.8246 1.1790
Ag -3.6880 -2.3160 -0.6916
Ag -0.6873 -3.7598 2.1988
Mg 0.7116 -2.4381 4.3699
Mg -2.3709 -1.4418 1.7412
Mg -4.9327 0.2777 -1.0669
Ga 0.6759 -1.5204 1.4870
Ga -3.0969 -4.3006 1.0669
Ga -1.9543 -0.2549 -1.0466
```



13.
Computed, not measured: crystalline LiCdGaCo at its relaxed geometry at the PBE level of DFT.

## Properties
Energy relative to the lowest polymorph listed for this composition = 0.45 eV/f.u.

```
4
Lattice="0.0000 3.0681 3.0681 3.0681 0.0000 3.0681 3.0681 3.0681 0.0000" Properties=species:S:1:pos:R:3 pbc="T T T"
Ga 0.0000 0.0000 0.0000
Cd 1.5340 1.5340 1.5340
Co 4.6021 4.6021 4.6021
Li 3.0681 3.0681 3.0681
```



14.
Computed, not measured: crystalline YZnCuSi at its relaxed geometry at the PBE level of DFT.

## Properties
Energy relative to the lowest polymorph listed for this composition = 0.00 eV/f.u.

```
4
Lattice="0.0000 3.2590 3.2590 3.2590 0.0000 3.2590 3.2590 3.2590 0.0000" Properties=species:S:1:pos:R:3 pbc="T T T"
Y 1.6295 1.6295 1.6295
Si 0.0000 0.0000 0.0000
Cu 4.8885 4.8885 4.8885
Zn 3.2590 3.2590 3.2590
```



15.
Computed, not measured: crystalline LiAlMoOs at its relaxed geometry at the PBE level of DFT.

## Properties
Energy relative to the lowest polymorph listed for this composition = 2.36 eV/f.u.

```
4
Lattice="0.0000 3.0220 3.0220 3.0220 0.0000 3.0220 3.0220 3.0220 0.0000" Properties=species:S:1:pos:R:3 pbc="T T T"
Al 1.5110 1.5110 1.5110
Os 3.0220 3.0220 3.0220
Li 4.5330 4.5330 4.5330
Mo 0.0000 0.0000 0.0000
```



16.
Computed, not measured: crystalline K2Sm at its relaxed geometry at the PBE level of DFT.

## Properties
Energy relative to the lowest polymorph listed for this composition = 0.00 eV/f.u.

```
12
Lattice="7.8437 0.0000 0.0000 -3.9219 6.7929 0.0000 0.0000 0.0000 11.3558" Properties=species:S:1:pos:R:3 pbc="T T T"
K 1.8139 5.5759 2.8389
K 3.9219 4.3588 8.5168
K 5.7358 1.2170 8.5168
K 0.0000 0.0000 0.0000
K 0.0000 2.4341 2.8389
K -1.8139 5.5759 2.8389
K 2.1080 1.2170 8.5168
K 0.0000 0.0000 5.6779
Sm 3.9219 2.2643 1.0733
Sm 3.9219 2.2643 4.6046
Sm 0.0000 4.5286 10.2825
Sm 0.0000 4.5286 6.7512
```



17.
Computed, not measured: crystalline DyTmAlCo2 at its relaxed geometry at the PBE level of DFT.

## Properties
Energy relative to the lowest polymorph listed for this composition = 0.00 eV/f.u.

```
5
Lattice="1.0811 -4.3402 2.8997 -4.7943 -1.1375 2.0334 2.0834 0.4027 -4.8900" Properties=species:S:1:pos:R:3 pbc="T T T"
Co -1.1476 -3.6168 2.0195
Co -0.4791 -1.4535 -1.9806
Dy 0.8240 -3.0873 0.0122
Tm -2.4552 -1.9897 0.0327
Al -0.0018 -0.0026 0.0024
```



18.
Computed, not measured: crystalline ZrZnCoMo at its relaxed geometry at the PBE level of DFT.

## Properties
Energy relative to the lowest polymorph listed for this composition = 0.00 eV/f.u.

```
4
Lattice="0.0000 3.1524 3.1524 3.1524 0.0000 3.1524 3.1524 3.1524 0.0000" Properties=species:S:1:pos:R:3 pbc="T T T"
Mo 1.5762 1.5762 1.5762
Zn 0.0000 0.0000 0.0000
Co 4.7286 4.7286 4.7286
Zr 3.1524 3.1524 3.1524
```



19.
Computed, not measured: crystalline MgSc4HgC2 at its relaxed geometry at the PBE level of DFT.

## Properties
Energy = -6.1248 eV per atom

```
8
Lattice="3.3332 0.0000 0.0000 -1.6666 2.8867 0.0000 0.0000 0.0000 15.6529" Properties=species:S:1:pos:R:3 pbc="T T T"
Sc 0.0000 1.9244 10.6554
Sc 1.6666 0.9622 13.1138
Sc 1.6666 0.9622 2.5391
Sc 0.0000 1.9244 4.9976
Hg 0.0000 1.9244 0.0000
C 0.0000 0.0000 11.8483
C 0.0000 0.0000 3.8046
Mg 1.6666 0.9622 7.8265
```



20.
Computed, not measured: crystalline FeTeSe at its relaxed geometry at the PBE level of DFT.

## Properties
Energy relative to the lowest polymorph listed for this composition = 0.12 eV/f.u.

```
6
Lattice="-4.3727 0.8981 2.4462 0.7218 -2.8270 2.3281 3.1369 3.7290 3.5557" Properties=species:S:1:pos:R:3 pbc="T T T"
Te 1.0189 2.6030 2.8450
Te -2.2548 2.0241 3.1569
Fe 0.0000 0.0000 0.0000
Fe -0.2570 0.9000 4.1650
Se -0.1252 2.4516 6.0082
Se -0.3889 -0.6516 2.3217
```